[1]
## ScMnBr2 (PBE)

Data for crystalline ScMnBr2 at its relaxed geometry.

Cell: 7.8112 7.8112 7.8112 Å, 153.34 145.80 43.88°
With the nearest neighbours (Å) after each atom.
Fractional coordinates of all 4 atoms:
1 Br 0.1110 0.1110 0.0000  2 Sc 2.70
2 Br 0.3890 0.3890 0.0000  2 Sc 2.70
3 Sc 0.2500 0.7500 0.5000  4 Br 2.70, 4 Mn 2.92
4 Mn 0.7500 0.2500 0.5000  4 Sc 2.92, 4 Br 3.05

As for the energy above the most stable polymorph in this dataset: 147 meV per atom. The total energy is -5.24 eV/atom. The density of states at the Fermi level is 2.80 states/eV per cell.



[2]
## Sc2MnBr (PBE)

Data for crystalline Sc2MnBr at its relaxed geometry.

Cell: 5.4648 5.4648 5.0756 Å, 75.69 75.69 33.97°
With the nearest neighbours (Å) after each atom.
Fractional coordinates of all 4 atoms:
1 Br 0.5173 0.5173 0.5685  7 Sc 2.79-3.08
2 Sc 0.9739 0.9739 0.0792  3 Mn 2.81-2.98, 4 Br 2.98-3.08
3 Sc 0.7632 0.7632 0.6902  3 Br 2.79-3.02, 2 Mn 2.84
4 Mn 0.2455 0.2455 0.1622  5 Sc 2.81-2.98

As for the energy above the most stable polymorph in this dataset: 268 meV per atom. The total energy is -6.00 eV/atom. The density of states at the Fermi level is 3.78 states/eV per cell.



[3]
## ScMn3Br (PBE)

Data for crystalline ScMn3Br at its relaxed geometry.

Cell: 4.9353 4.9353 4.9353 Å, 90.00 90.00 90.00°
With the nearest neighbours (Å) after each atom.
Fractional coordinates of all 5 atoms:
1 Br 0.5000 0.5000 0.5000  12 Mn 3.49
2 Mn 0.5000 0.0000 0.0000  2 Sc 2.47
3 Mn 0.0000 0.0000 0.5000  2 Sc 2.47
4 Mn 0.0000 0.5000 0.0000  2 Sc 2.47
5 Sc 0.0000 0.0000 0.0000  6 Mn 2.47

As for the energy above the most stable polymorph in this dataset: 557 meV per atom. The total energy is -5.78 eV/atom. The density of states at the Fermi level is 4.45 states/eV per cell.



[4]
## ScMn2Br (PBE)

Data for crystalline ScMn2Br at its relaxed geometry.

Cell: 7.7225 7.7225 6.0903 Å, 50.65 50.65 90.00°
With the nearest neighbours (Å) after each atom.
Fractional coordinates of all 8 atoms:
1 Mn 0.8750 0.9127 0.7500  2 Br 2.62, 2 Mn 2.76
2 Mn 0.3750 0.3373 0.7500  2 Br 2.62, 2 Mn 2.76
3 Mn 0.0873 0.6250 0.2500  2 Br 2.62, 2 Mn 2.76
4 Mn 0.6627 0.1250 0.2500  2 Br 2.62, 2 Mn 2.76
5 Sc 0.5000 0.5000 0.0000  2 Br 2.70, 4 Mn 3.02
6 Sc 0.2500 0.7500 0.5000  2 Br 2.70, 4 Mn 3.02
7 Br 0.7500 0.2500 0.5000  4 Mn 2.62, 2 Sc 2.70
8 Br 0.0000 0.0000 0.0000  4 Mn 2.62, 2 Sc 2.70

As for the energy above the most stable polymorph in this dataset: 438 meV per atom. The total energy is -6.25 eV/atom. The density of states at the Fermi level is 4.04 states/eV per cell.



[5]
## Sc2MnBr (PBE)

Data for crystalline Sc2MnBr at its relaxed geometry.

Cell: 9.6091 9.6091 9.6091 Å, 20.15 20.15 20.15°
With the nearest neighbours (Å) after each atom.
Fractional coordinates of all 4 atoms:
1 Br 0.5078 0.5078 0.5078  3 Sc 2.75
2 Mn 0.7456 0.7456 0.7456  3 Sc 2.89
3 Sc 0.0031 0.0031 0.0031  3 Mn 2.89
4 Sc 0.2435 0.2435 0.2435  3 Br 2.75

As for the energy above the most stable polymorph in this dataset: 231 meV per atom. The total energy is -6.04 eV/atom. The density of states at the Fermi level is 1.73 states/eV per cell.



[6]
## Sc2MnBr (PBE)

Data for crystalline Sc2MnBr at its relaxed geometry.

Cell: 6.2227 6.2227 6.2227 Å, 149.05 138.29 52.84°
With the nearest neighbours (Å) after each atom.
Fractional coordinates of all 4 atoms:
1 Sc 0.7631 0.2631 0.5000  4 Mn 2.78, 2 Br 3.04
2 Sc 0.0421 0.0421 0.0000  2 Mn 2.81, 4 Br 2.95
3 Mn 0.2452 0.7452 0.5000  6 Sc 2.78-2.81, 2 Br 2.82
4 Br 0.4496 0.4496 0.0000  2 Mn 2.82, 6 Sc 2.95-3.04

As for the energy above the most stable polymorph in this dataset: 333 meV per atom. The total energy is -5.94 eV/atom. The density of states at the Fermi level is 4.97 states/eV per cell.



[7]
## ScMnBr6 (PBE)

Data for crystalline ScMnBr6 at its relaxed geometry.

Cell: 6.6322 6.6303 7.0800 Å, 62.06 62.05 59.99°
With the nearest neighbours (Å) after each atom.
Fractional coordinates of all 8 atoms:
1 Br 0.6036 0.2431 0.2464  1 Mn 2.58, 1 Sc 2.67
2 Br 0.2432 0.9069 0.2464  1 Mn 2.58, 1 Sc 2.67
3 Br 0.3964 0.7569 0.7536  1 Mn 2.58, 1 Sc 2.67
4 Br 0.9071 0.6036 0.2463  1 Mn 2.58, 1 Sc 2.67
5 Br 0.0929 0.3964 0.7537  1 Mn 2.58, 1 Sc 2.67
6 Br 0.7568 0.0931 0.7536  1 Mn 2.58, 1 Sc 2.67
7 Mn 0.0000 0.0000 0.0000  6 Br 2.58
8 Sc 0.5000 0.5000 0.5000  6 Br 2.67

As for the energy above the most stable polymorph in this dataset: 53 meV per atom. The total energy is -4.25 eV/atom. The density of states at the Fermi level is 5.44 states/eV per cell.



[8]
## ScMn2Br (PBE)

Data for crystalline ScMn2Br at its relaxed geometry.

Cell: 3.1849 3.1849 8.5371 Å, 90.00 90.00 90.00°
With the nearest neighbours (Å) after each atom.
Fractional coordinates of all 4 atoms:
1 Mn 0.0000 0.0000 0.1126  4 Mn 2.52
2 Mn 0.5000 0.5000 0.2444  4 Mn 2.52
3 Sc 0.0000 0.0000 0.4694  4 Br 2.85, 5 Mn 2.96-3.05, 4 Sc 3.18
4 Br 0.5000 0.5000 0.6736  4 Sc 2.85, 4 Br 3.18

As for the energy above the most stable polymorph in this dataset: 1 meV per atom. The total energy is -6.69 eV/atom. The density of states at the Fermi level is 1.43 states/eV per cell.



[9]
## ScMnBr2 (PBE)

Data for crystalline ScMnBr2 at its relaxed geometry.

Cell: 6.5790 6.5790 6.5790 Å, 145.81 145.81 49.13°
With the nearest neighbours (Å) after each atom.
Fractional coordinates of all 4 atoms:
1 Mn 0.5000 0.5000 0.0000  4 Br 2.73
2 Sc 0.7500 0.2500 0.5000  4 Br 2.73
3 Br 0.0000 0.0000 0.0000  4 Mn 2.73
4 Br 0.2500 0.7500 0.5000  4 Sc 2.73

As for the energy above the most stable polymorph in this dataset: 514 meV per atom. The total energy is -4.87 eV/atom. The density of states at the Fermi level is 4.14 states/eV per cell.



[10]
## ScMnBr2 (PBE)

Data for crystalline ScMnBr2 at its relaxed geometry.

Cell: 3.4234 3.4234 8.5786 Å, 90.00 90.00 90.00°
With the nearest neighbours (Å) after each atom.
Fractional coordinates of all 4 atoms:
1 Br 0.0000 0.0000 0.9155  4 Sc 2.95
2 Br 0.5000 0.5000 0.3526  4 Mn 2.78
3 Sc 0.5000 0.5000 0.7199  5 Br 2.95-3.15, 4 Mn 3.01
4 Mn 0.0000 0.0000 0.5119  4 Br 2.78, 4 Sc 3.01

As for the energy above the most stable polymorph in this dataset: 30 meV per atom. The total energy is -5.36 eV/atom. The density of states at the Fermi level is 0.43 states/eV per cell.



[11]
## ScMn2Br (PBE)

Data for crystalline ScMn2Br at its relaxed geometry.

Cell: 4.5945 5.8888 3.1737 Å, 74.74 89.08 112.69°
With the nearest neighbours (Å) after each atom.
Fractional coordinates of all 4 atoms:
1 Mn 0.5000 0.0000 0.5000  4 Mn 2.77-2.81, 2 Br 2.95, 2 Sc 2.95
2 Mn 0.0000 0.0000 0.0000  4 Mn 2.77-2.81, 2 Sc 2.95, 2 Br 2.95
3 Sc 0.0000 0.5000 0.5000  4 Br 2.77-2.81, 4 Mn 2.95
4 Br 0.5000 0.5000 0.0000  4 Sc 2.77-2.81, 4 Mn 2.95

As for the energy above the most stable polymorph in this dataset: 366 meV per atom. The total energy is -6.32 eV/atom. The density of states at the Fermi level is 4.88 states/eV per cell.



[12]
## ScMn2Br (PBE)

Data for crystalline ScMn2Br at its relaxed geometry.

Cell: 7.2111 7.2111 7.2111 Å, 28.46 28.46 28.46°
With the nearest neighbours (Å) after each atom.
Fractional coordinates of all 4 atoms:
1 Mn 0.9622 0.9622 0.9622  3 Mn 2.15
2 Mn 0.2643 0.2643 0.2643  3 Mn 2.15
3 Br 0.7571 0.7571 0.7571  3 Sc 2.81
4 Sc 0.5164 0.5164 0.5164  3 Mn 2.65, 3 Br 2.81

As for the energy above the most stable polymorph in this dataset: 111 meV per atom. The total energy is -6.58 eV/atom. The density of states at the Fermi level is 2.75 states/eV per cell.



[13]
## ScMnBr2 (PBE)

Data for crystalline ScMnBr2 at its relaxed geometry.

Cell: 3.4647 3.4647 6.7131 Å, 90.00 90.00 90.00°
With the nearest neighbours (Å) after each atom.
Fractional coordinates of all 4 atoms:
1 Sc 0.5000 0.5000 0.7500  8 Br 2.93
2 Mn 0.5000 0.5000 0.2500  8 Br 3.02, 2 Sc 3.36
3 Br 0.0000 0.0000 0.5120  4 Sc 2.93, 4 Mn 3.02, 1 Br 3.20
4 Br 0.0000 0.0000 0.9880  4 Sc 2.93, 4 Mn 3.02, 1 Br 3.20

As for the energy above the most stable polymorph in this dataset: 412 meV per atom. The total energy is -4.97 eV/atom. The density of states at the Fermi level is 2.11 states/eV per cell.



[14]
## Sc2MnBr (PBE)

Data for crystalline Sc2MnBr at its relaxed geometry.

Cell: 5.4697 5.4697 5.4697 Å, 142.07 119.88 73.33°
With the nearest neighbours (Å) after each atom.
Fractional coordinates of all 4 atoms:
1 Sc 0.5052 0.5052 0.0000  2 Br 2.79, 2 Mn 2.86
2 Sc 0.9948 0.9948 0.0000  2 Br 2.79, 2 Mn 2.86
3 Mn 0.2500 0.7500 0.5000  4 Sc 2.86
4 Br 0.7500 0.2500 0.5000  4 Sc 2.79

As for the energy above the most stable polymorph in this dataset: 385 meV per atom. The total energy is -5.89 eV/atom. The density of states at the Fermi level is 4.58 states/eV per cell.



[15]
## ScMn2Br (PBE)

Data for crystalline ScMn2Br at its relaxed geometry.

Cell: 5.3086 5.3086 3.2949 Å, 90.00 90.00 119.44°
With the nearest neighbours (Å) after each atom.
Fractional coordinates of all 4 atoms:
1 Mn 0.0000 0.0000 0.0000  2 Mn 2.68
2 Mn 0.5000 0.5000 0.0000  2 Mn 2.68
3 Br 0.0000 0.5000 0.5000  2 Sc 2.68
4 Sc 0.5000 0.0000 0.5000  2 Br 2.68

As for the energy above the most stable polymorph in this dataset: 396 meV per atom. The total energy is -6.29 eV/atom. The density of states at the Fermi level is 3.51 states/eV per cell.



[16]
## Sc3MnBr (PBE)

Data for crystalline Sc3MnBr at its relaxed geometry.

Cell: 4.9578 4.9578 4.9578 Å, 90.00 90.00 90.00°
With the nearest neighbours (Å) after each atom.
Fractional coordinates of all 5 atoms:
1 Sc 0.0000 0.0000 0.5000  2 Br 2.48
2 Sc 0.5000 0.0000 0.0000  2 Br 2.48
3 Sc 0.0000 0.5000 0.0000  2 Br 2.48
4 Mn 0.5000 0.5000 0.5000  12 Sc 3.51
5 Br 0.0000 0.0000 0.0000  6 Sc 2.48

As for the energy above the most stable polymorph in this dataset: 70 meV per atom. The total energy is -5.78 eV/atom. The density of states at the Fermi level is 4.38 states/eV per cell.



[17]
## Sc2MnBr (PBE)

Data for crystalline Sc2MnBr at its relaxed geometry.

Cell: 3.2085 3.3689 7.8298 Å, 89.83 90.00 90.00°
With the nearest neighbours (Å) after each atom.
Fractional coordinates of all 4 atoms:
1 Mn 0.5000 0.7500 0.7500  8 Sc 2.80
2 Sc 0.0000 0.2517 0.5513  4 Mn 2.80, 2 Br 2.85, 1 Sc 3.11
3 Sc 0.0000 0.2483 0.9487  4 Mn 2.80, 2 Br 2.85, 1 Sc 3.11
4 Br 0.5000 0.2500 0.2500  4 Sc 2.85

As for the energy above the most stable polymorph in this dataset: 0 meV per atom. The total energy is -6.27 eV/atom. The density of states at the Fermi level is 4.23 states/eV per cell.



[18]
## ScMnBr2 (PBE)

Data for crystalline ScMnBr2 at its relaxed geometry.

Cell: 3.4843 3.6044 8.6915 Å, 78.16 90.00 90.00°
With the nearest neighbours (Å) after each atom.
Fractional coordinates of all 4 atoms:
1 Mn 0.0000 0.5593 0.5049  4 Br 2.80, 4 Sc 3.01-3.02
2 Sc 0.5000 0.9616 0.7019  3 Br 2.64-2.93
3 Br 0.0000 0.8472 0.9357  2 Sc 2.64
4 Br 0.5000 0.1320 0.3574  4 Mn 2.80, 1 Sc 2.93

As for the energy above the most stable polymorph in this dataset: 16 meV per atom. The total energy is -5.37 eV/atom. The density of states at the Fermi level is 2.49 states/eV per cell.



[19]
## ScMn3Br (PBE)

Data for crystalline ScMn3Br at its relaxed geometry.

Cell: 4.5071 4.5071 4.5071 Å, 90.00 90.00 90.00°
With the nearest neighbours (Å) after each atom.
Fractional coordinates of all 5 atoms:
1 Mn 0.0000 0.0000 0.5000  2 Br 2.25
2 Mn 0.0000 0.5000 0.0000  2 Br 2.25
3 Mn 0.5000 0.0000 0.0000  2 Br 2.25
4 Sc 0.5000 0.5000 0.5000  12 Mn 3.19
5 Br 0.0000 0.0000 0.0000  6 Mn 2.25

As for the energy above the most stable polymorph in this dataset: 0 meV per atom. The total energy is -6.34 eV/atom. The density of states at the Fermi level is 2.62 states/eV per cell.



[20]
## Sc2MnBr (PBE)

Data for crystalline Sc2MnBr at its relaxed geometry.

Cell: 7.0885 5.0280 3.1808 Å, 89.94 63.43 124.29°
With the nearest neighbours (Å) after each atom.
Fractional coordinates of all 4 atoms:
1 Sc 0.5000 0.0000 0.5000  4 Br 2.97-2.98, 4 Mn 2.97-2.98, 4 Sc 3.17-3.18
2 Sc 0.0000 0.0000 0.0000  4 Mn 2.97-2.98, 4 Br 2.97-2.98, 4 Sc 3.17-3.18
3 Mn 0.5000 0.5000 0.0000  8 Sc 2.97-2.98, 2 Br 3.17, 2 Mn 3.18
4 Br 0.0000 0.5000 0.5000  8 Sc 2.97-2.98, 2 Mn 3.17, 2 Br 3.18

As for the energy above the most stable polymorph in this dataset: 270 meV per atom. The total energy is -6.00 eV/atom. The density of states at the Fermi level is 3.77 states/eV per cell.